This record from Alexandria via LeMat-Bulk describes a relaxed CaLaMo2O8 crystal. The functional is GGA+U. Values from VASP.

Output
Energy ... -7.43 eV/atom

The structure in Quantum ESPRESSO input format:
```
&SYSTEM
  ibrav = 0, nat = 12, ntyp = 4
/
ATOMIC_SPECIES
Mo 95.94 Mo.upf
O 16.00 O.upf
Ca 40.08 Ca.upf
La 138.91 La.upf
ATOMIC_POSITIONS crystal
Mo 0.5000 0.5000 0.0000
O 0.5686 0.6738 0.6642
O 0.7397 0.8384 0.1630
O 0.0956 0.9904 0.6642
O 0.1616 0.5767 0.8370
O 0.4233 0.3246 0.1630
O 0.0096 0.4314 0.3358
Ca 0.7500 0.2500 0.5000
O 0.6754 0.2603 0.8370
La 0.0000 0.0000 0.0000
O 0.3262 0.9044 0.3358
Mo 0.2500 0.7500 0.5000
CELL_PARAMETERS angstrom
-0.9945 4.7720 -2.2692
-0.9832 -2.4358 -4.6915
-4.6699 -1.6616 4.9225
```